Ac6I3O14 GGA-PBE relaxed; N(E_F) = 0.136 states/eV per atom; space group = P3; E_form (uncorrected) = -2.204 eV/atom
1.0
8.6592 0.0000 0.0000
-4.3296 7.4991 0.0000
0.0000 0.0000 6.6405
Ac I O
6 3 14
direct
0.0424 0.6020 0.0000 Ac
0.3044 0.1179 0.5515 Ac
0.3980 0.4404 0.0000 Ac
0.5596 0.9576 0.0000 Ac
0.8134 0.6956 0.5515 Ac
0.8821 0.1866 0.5515 Ac
0.0000 0.0000 0.0251 I
0.3333 0.6667 0.4842 I
0.6667 0.3333 0.2414 I
0.0000 0.0000 0.4805 O
0.1044 0.8855 0.8357 O
0.1145 0.2189 0.8357 O
0.1914 0.4572 0.3407 O
0.2478 0.1317 0.1579 O
0.2658 0.8086 0.3407 O
0.3333 0.6667 0.9231 O
0.4938 0.4475 0.6672 O
0.5428 0.7342 0.3407 O
0.5525 0.0463 0.6672 O
0.7811 0.8956 0.8357 O
0.8683 0.1161 0.1579 O
0.8839 0.7522 0.1579 O
0.9537 0.5062 0.6672 O

***

Ac3IO6 GGA-PBE relaxed; space group = R-3; E_form (uncorrected) = -2.370 eV/atom
1.0
5.6270 3.2488 3.4492
-5.6270 3.2488 3.4492
0.0000 -6.4976 3.4492
Ac I O
6 2 12
direct
0.0953 0.6064 0.7779 Ac
0.2221 0.9047 0.3936 Ac
0.3936 0.2221 0.9047 Ac
0.6064 0.7779 0.0953 Ac
0.7779 0.0953 0.6064 Ac
0.9047 0.3936 0.2221 Ac
0.0000 0.0000 0.0000 I
0.5000 0.5000 0.5000 I
0.0508 0.3011 0.8983 O
0.1017 0.9492 0.6989 O
0.1895 0.5882 0.4631 O
0.3011 0.8983 0.0508 O
0.4118 0.5369 0.8105 O
0.4631 0.1895 0.5882 O
0.5369 0.8105 0.4118 O
0.5882 0.4631 0.1895 O
0.6989 0.1017 0.9492 O
0.8105 0.4118 0.5369 O
0.8983 0.0508 0.3011 O
0.9492 0.6989 0.1017 O

***

Ac2IO GGA-PBE relaxed; E above lowest polymorph = 624 meV/atom; N(E_F) = 0.637 states/eV per atom; space group = P4/mmm; E_form (uncorrected) = -1.057 eV/atom
1.0
3.6908 0.0000 0.0000
0.0000 3.6908 0.0000
0.0000 0.0000 7.7455
Ac I O
2 1 1
direct
0.0000 0.0000 0.2191 Ac
0.0000 0.0000 0.7809 Ac
0.5000 0.5000 0.5000 I
0.5000 0.5000 0.0000 O

***

Ac6IO12 GGA-PBE relaxed; N(E_F) = 0.238 states/eV per atom; space group = R-3; E_form (uncorrected) = -2.776 eV/atom
1.0
5.3906 3.1123 3.4452
-5.3906 3.1123 3.4452
0.0000 -6.2245 3.4452
Ac I O
6 1 12
direct
0.1042 0.6438 0.8046 Ac
0.1954 0.8958 0.3562 Ac
0.3562 0.1954 0.8958 Ac
0.6438 0.8046 0.1042 Ac
0.8046 0.1042 0.6438 Ac
0.8958 0.3562 0.1954 Ac
0.5000 0.5000 0.5000 I
0.0566 0.3224 0.9041 O
0.0959 0.9434 0.6776 O
0.2148 0.5297 0.4359 O
0.3224 0.9041 0.0566 O
0.4359 0.2148 0.5297 O
0.4703 0.5641 0.7852 O
0.5297 0.4359 0.2148 O
0.5641 0.7852 0.4703 O
0.6776 0.0959 0.9434 O
0.7852 0.4703 0.5641 O
0.9041 0.0566 0.3224 O
0.9434 0.6776 0.0959 O

***

AcI2O8 GGA-PBE relaxed; E above lowest polymorph = 0 meV/atom; N(E_F) = 0.284 states/eV per atom; space group = C2/m; E_form (uncorrected) = -0.779 eV/atom
1.0
5.5467 -2.7425 0.0000
5.5467 2.7425 0.0000
-2.3179 0.0000 6.1042
Ac I O
1 2 8
direct
0.0000 0.0000 0.0000 Ac
0.2130 0.2130 0.6954 I
0.7870 0.7870 0.3046 I
0.1127 0.6201 0.2139 O
0.1627 0.1627 0.3890 O
0.3799 0.8873 0.7861 O
0.3904 0.3904 0.8454 O
0.6096 0.6096 0.1546 O
0.6201 0.1127 0.2139 O
0.8373 0.8373 0.6110 O
0.8873 0.3799 0.7861 O

***

Ac2IO5 GGA-PBE relaxed; E above lowest polymorph = 0 meV/atom; space group = P2_1/c; E_form (uncorrected) = -2.170 eV/atom
1.0
10.0864 0.0000 0.0000
0.0000 8.1012 0.0000
-0.3657 0.0000 7.2548
Ac I O
8 4 20
direct
0.0185 0.1228 0.2456 Ac
0.0185 0.3772 0.7456 Ac
0.3432 0.1316 0.9688 Ac
0.3432 0.3684 0.4688 Ac
0.6568 0.6316 0.5312 Ac
0.6568 0.8684 0.0312 Ac
0.9815 0.6228 0.2544 Ac
0.9815 0.8772 0.7544 Ac
0.3272 0.5993 0.9576 I
0.3272 0.9007 0.4576 I
0.6728 0.0993 0.5424 I
0.6728 0.4007 0.0424 I
0.1047 0.6432 0.9244 O
0.1047 0.8568 0.4244 O
0.1071 0.1068 0.9187 O
0.1071 0.3932 0.4187 O
0.2723 0.1257 0.2889 O
0.2723 0.3743 0.7889 O
0.3927 0.6793 0.5391 O
0.3927 0.8207 0.0391 O
0.4211 0.0507 0.6360 O
0.4211 0.4493 0.1360 O
0.5789 0.5507 0.8640 O
0.5789 0.9493 0.3640 O
0.6073 0.1793 0.9609 O
0.6073 0.3207 0.4609 O
0.7277 0.6257 0.2111 O
0.7277 0.8743 0.7111 O
0.8929 0.6068 0.5813 O
0.8929 0.8932 0.0813 O
0.8953 0.1432 0.5756 O
0.8953 0.3568 0.0756 O

***

AcI2O8 GGA-PBE relaxed; E above lowest polymorph = 11 meV/atom; N(E_F) = 0.270 states/eV per atom; space group = C2/m; E_form (uncorrected) = -0.768 eV/atom
1.0
4.8886 -3.2216 0.0000
4.8886 3.2216 0.0000
-0.5535 0.0000 5.5886
Ac I O
1 2 8
direct
0.0000 0.0000 0.0000 Ac
0.2826 0.2826 0.5134 I
0.7174 0.7174 0.4866 I
0.0491 0.6601 0.6402 O
0.2002 0.2002 0.8023 O
0.3399 0.9509 0.3598 O
0.3994 0.3994 0.2770 O
0.6006 0.6006 0.7230 O
0.6601 0.0491 0.6402 O
0.7998 0.7998 0.1977 O
0.9509 0.3399 0.3598 O

***

Ac2IO5 GGA-PBE relaxed; E above lowest polymorph = 334 meV/atom; N(E_F) = 0.394 states/eV per atom; space group = Fmm2; E_form (uncorrected) = -1.836 eV/atom
1.0
0.0000 4.1769 3.7706
4.1640 0.0000 3.7706
4.1640 4.1769 0.0000
Ac I O
2 1 5
direct
0.0000 0.0000 0.5000 Ac
0.5000 0.5000 0.0000 Ac
0.2383 0.2383 0.7617 I
0.0080 0.4999 0.9920 O
0.0107 0.5023 0.4977 O
0.4975 0.4975 0.5025 O
0.4999 0.0080 0.5001 O
0.5023 0.0107 0.9893 O

***

Question: Which of these has the lowest E_form (uncorrected)?
Answer: Ac6IO12

***

Repeat the fifth record exactly.
AcI2O8 GGA-PBE relaxed; E above lowest polymorph = 0 meV/atom; N(E_F) = 0.284 states/eV per atom; space group = C2/m; E_form (uncorrected) = -0.779 eV/atom
1.0
5.5467 -2.7425 0.0000
5.5467 2.7425 0.0000
-2.3179 0.0000 6.1042
Ac I O
1 2 8
direct
0.0000 0.0000 0.0000 Ac
0.2130 0.2130 0.6954 I
0.7870 0.7870 0.3046 I
0.1127 0.6201 0.2139 O
0.1627 0.1627 0.3890 O
0.3799 0.8873 0.7861 O
0.3904 0.3904 0.8454 O
0.6096 0.6096 0.1546 O
0.6201 0.1127 0.2139 O
0.8373 0.8373 0.6110 O
0.8873 0.3799 0.7861 O

***

Question: Which of these has the highest E_form (uncorrected)?
Answer: number 7

***

Question: Which formula does entry 4 have?
Answer: Ac6IO12